(1)
The following is a DFT calculation (GGA-PBE) of crystalline CsCu4F8 at its relaxed geometry.

The electronic total energy is -4.14 eV per atom. The calculation puts the formation energy without anion corrections at -1667 meV/atom. The magnetic moment comes out at 0.23 μB/atom.

The structure in CIF format:
```
data_CsCu4F8
_symmetry_space_group_name_H-M 'P 1'
_symmetry_Int_Tables_number 1
_cell_length_a 6.752
_cell_length_b 6.752
_cell_length_c 7.895
_cell_angle_alpha 64.35
_cell_angle_beta 64.35
_cell_angle_gamma 52.58
loop_
_symmetry_equiv_pos_as_xyz
'x,y,z'
loop_
_atom_site_label
_atom_site_type_symbol
_atom_site_fract_x
_atom_site_fract_y
_atom_site_fract_z
F1 F 0.238 0.238 0.844
F2 F 0.764 0.266 0.153
Cs1 Cs 0.500 0.500 0.500
F3 F 0.762 0.762 0.156
F4 F 0.236 0.734 0.847
Cu1 Cu 0.000 0.000 0.000
F5 F 0.266 0.764 0.153
F6 F 0.734 0.236 0.847
Cu2 Cu 0.500 0.500 0.000
Cu3 Cu 0.000 0.500 0.000
F7 F 0.739 0.739 0.847
Cu4 Cu 0.500 0.000 0.000
F8 F 0.261 0.261 0.153
```

---

(2)
The following is a DFT calculation (GGA-PBE) of crystalline Cs3CuF5 at its relaxed geometry.

The electronic total energy is -4.13 eV per atom. The calculation puts the formation energy without anion corrections at -2352 meV/atom. The magnetic moment comes out at 0.11 μB/atom.

The structure in CIF format:
```
data_Cs3CuF5
_symmetry_space_group_name_H-M 'P 1'
_symmetry_Int_Tables_number 1
_cell_length_a 6.700
_cell_length_b 7.955
_cell_length_c 7.955
_cell_angle_alpha 90.00
_cell_angle_beta 90.00
_cell_angle_gamma 90.00
loop_
_symmetry_equiv_pos_as_xyz
'x,y,z'
loop_
_atom_site_label
_atom_site_type_symbol
_atom_site_fract_x
_atom_site_fract_y
_atom_site_fract_z
F1 F 0.198 0.121 0.621
Cs1 Cs 0.500 0.321 0.821
Cu1 Cu 0.000 0.500 0.000
F2 F 0.198 0.621 0.879
F3 F 0.802 0.879 0.379
F4 F 0.802 0.379 0.121
Cs2 Cs 0.000 0.500 0.500
F5 F 0.500 0.000 0.000
Cs3 Cs 0.000 0.000 0.000
F6 F 0.802 0.121 0.621
Cu2 Cu 0.000 0.000 0.500
F7 F 0.802 0.621 0.879
Cs4 Cs 0.500 0.821 0.679
F8 F 0.198 0.379 0.121
F9 F 0.198 0.879 0.379
F10 F 0.500 0.500 0.500
Cs5 Cs 0.500 0.179 0.321
Cs6 Cs 0.500 0.679 0.179
```

---

(3)
The following is a DFT calculation (GGA-PBE) of crystalline CsCu2F at its relaxed geometry.

The electronic total energy is -2.32 eV per atom. The calculation puts the formation energy without anion corrections at 411 meV/atom. The magnetic moment comes out at 0.00 μB/atom.

The structure in CIF format:
```
data_CsCu2F
_symmetry_space_group_name_H-M 'P 1'
_symmetry_Int_Tables_number 1
_cell_length_a 4.986
_cell_length_b 4.986
_cell_length_c 4.986
_cell_angle_alpha 60.00
_cell_angle_beta 60.00
_cell_angle_gamma 60.00
loop_
_symmetry_equiv_pos_as_xyz
'x,y,z'
loop_
_atom_site_label
_atom_site_type_symbol
_atom_site_fract_x
_atom_site_fract_y
_atom_site_fract_z
F1 F 0.000 0.000 0.000
Cu1 Cu 0.750 0.750 0.750
Cu2 Cu 0.250 0.250 0.250
Cs1 Cs 0.500 0.500 0.500
```

---

(4)
The following is a DFT calculation (GGA-PBE) of crystalline Cs2Cu2F5 at its relaxed geometry.

The electronic total energy is -4.10 eV per atom. The calculation puts the formation energy without anion corrections at -1963 meV/atom. The magnetic moment comes out at 0.11 μB/atom.

The structure in CIF format:
```
data_Cs2Cu2F5
_symmetry_space_group_name_H-M 'P 1'
_symmetry_Int_Tables_number 1
_cell_length_a 4.138
_cell_length_b 4.138
_cell_length_c 9.353
_cell_angle_alpha 90.00
_cell_angle_beta 90.00
_cell_angle_gamma 90.00
loop_
_symmetry_equiv_pos_as_xyz
'x,y,z'
loop_
_atom_site_label
_atom_site_type_symbol
_atom_site_fract_x
_atom_site_fract_y
_atom_site_fract_z
F1 F 0.537 0.037 0.765
Cs1 Cs 0.037 0.037 0.000
Cs2 Cs 0.037 0.037 0.500
F2 F 0.537 0.037 0.235
Cu1 Cu 0.537 0.537 0.265
F3 F 0.037 0.537 0.235
F4 F 0.037 0.537 0.765
Cu2 Cu 0.537 0.537 0.735
F5 F 0.537 0.537 0.500
```

---

(5)
The following is a DFT calculation (GGA-PBE) of crystalline Cs2CuF4 at its relaxed geometry.

The electronic total energy is -4.15 eV per atom. The calculation puts the formation energy without anion corrections at -2252 meV/atom. The magnetic moment comes out at 0.14 μB/atom.

The structure in CIF format:
```
data_Cs2CuF4
_symmetry_space_group_name_H-M 'P 1'
_symmetry_Int_Tables_number 1
_cell_length_a 4.359
_cell_length_b 4.359
_cell_length_c 7.858
_cell_angle_alpha 73.90
_cell_angle_beta 73.90
_cell_angle_gamma 90.00
loop_
_symmetry_equiv_pos_as_xyz
'x,y,z'
loop_
_atom_site_label
_atom_site_type_symbol
_atom_site_fract_x
_atom_site_fract_y
_atom_site_fract_z
Cu1 Cu 0.000 0.000 0.000
F1 F 0.500 0.000 0.000
Cs1 Cs 0.355 0.355 0.290
F2 F 0.000 0.500 0.000
Cs2 Cs 0.645 0.645 0.710
F3 F 0.135 0.135 0.730
F4 F 0.865 0.865 0.270
```

---

(6)
The following is a DFT calculation (GGA-PBE) of crystalline CsCu2F6 at its relaxed geometry.

The electronic total energy is -4.06 eV per atom. The calculation puts the formation energy without anion corrections at -1810 meV/atom. The magnetic moment comes out at 0.33 μB/atom.

The structure in CIF format:
```
data_CsCu2F6
_symmetry_space_group_name_H-M 'P 1'
_symmetry_Int_Tables_number 1
_cell_length_a 5.330
_cell_length_b 5.330
_cell_length_c 6.498
_cell_angle_alpha 90.00
_cell_angle_beta 90.00
_cell_angle_gamma 120.00
loop_
_symmetry_equiv_pos_as_xyz
'x,y,z'
loop_
_atom_site_label
_atom_site_type_symbol
_atom_site_fract_x
_atom_site_fract_y
_atom_site_fract_z
F1 F 0.000 0.618 0.333
F2 F 0.382 0.000 0.667
F3 F 0.000 0.382 0.667
F4 F 0.618 0.000 0.333
F5 F 0.618 0.618 0.667
Cu1 Cu 0.333 0.667 0.500
Cu2 Cu 0.667 0.333 0.500
F6 F 0.382 0.382 0.333
Cs1 Cs 0.000 0.000 0.000
```

---

(7)
The following is a DFT calculation (GGA-PBE) of crystalline Cs3Cu2F8 at its relaxed geometry.

The electronic total energy is -4.00 eV per atom. The calculation puts the formation energy without anion corrections at -2026 meV/atom. The magnetic moment comes out at 0.23 μB/atom.

The structure in CIF format:
```
data_Cs3Cu2F8
_symmetry_space_group_name_H-M 'P 1'
_symmetry_Int_Tables_number 1
_cell_length_a 6.421
_cell_length_b 6.421
_cell_length_c 8.682
_cell_angle_alpha 68.30
_cell_angle_beta 68.30
_cell_angle_gamma 60.00
loop_
_symmetry_equiv_pos_as_xyz
'x,y,z'
loop_
_atom_site_label
_atom_site_type_symbol
_atom_site_fract_x
_atom_site_fract_y
_atom_site_fract_z
Cs1 Cs 0.000 0.000 0.000
Cs2 Cs 0.206 0.206 0.382
F1 F 0.756 0.275 0.694
Cu1 Cu 0.590 0.590 0.230
F2 F 0.725 0.244 0.306
F3 F 0.331 0.331 0.007
F4 F 0.725 0.725 0.306
Cu2 Cu 0.410 0.410 0.770
F5 F 0.244 0.725 0.306
Cs3 Cs 0.794 0.794 0.618
F6 F 0.275 0.756 0.694
F7 F 0.275 0.275 0.694
F8 F 0.669 0.669 0.993
```

---

(8)
The following is a DFT calculation (GGA-PBE) of crystalline Cs2CuF7 at its relaxed geometry.

The electronic total energy is -3.59 eV per atom. The calculation puts the formation energy without anion corrections at -1696 meV/atom. The magnetic moment comes out at 0.22 μB/atom.

The structure in CIF format:
```
data_Cs2CuF7
_symmetry_space_group_name_H-M 'P 1'
_symmetry_Int_Tables_number 1
_cell_length_a 6.629
_cell_length_b 9.055
_cell_length_c 7.762
_cell_angle_alpha 77.65
_cell_angle_beta 64.72
_cell_angle_gamma 68.53
loop_
_symmetry_equiv_pos_as_xyz
'x,y,z'
loop_
_atom_site_label
_atom_site_type_symbol
_atom_site_fract_x
_atom_site_fract_y
_atom_site_fract_z
Cs1 Cs 0.320 0.591 0.752
F1 F 0.731 0.212 0.941
F2 F 0.869 0.788 0.059
F3 F 0.884 0.288 0.559
F4 F 0.131 0.212 0.941
F5 F 0.137 0.042 0.699
F6 F 0.877 0.458 0.801
F7 F 0.863 0.958 0.301
F8 F 0.509 0.250 0.750
Cu1 Cu 0.993 0.750 0.250
F9 F 0.123 0.542 0.199
Cs2 Cs 0.337 0.091 0.252
Cs3 Cs 0.663 0.909 0.748
F10 F 0.116 0.712 0.441
Cu2 Cu 0.007 0.250 0.750
F11 F 0.283 0.288 0.559
F12 F 0.491 0.750 0.250
F13 F 0.717 0.712 0.441
F14 F 0.269 0.788 0.059
Cs4 Cs 0.680 0.409 0.248
```

---

(9)
The following is a DFT calculation (GGA-PBE) of crystalline Cs6CuF6 at its relaxed geometry.

The electronic total energy is -3.68 eV per atom. The calculation puts the formation energy without anion corrections at -2108 meV/atom. The magnetic moment comes out at 0.00 μB/atom.

The structure in CIF format:
```
data_Cs6CuF6
_symmetry_space_group_name_H-M 'P 1'
_symmetry_Int_Tables_number 1
_cell_length_a 7.796
_cell_length_b 7.796
_cell_length_c 8.052
_cell_angle_alpha 90.00
_cell_angle_beta 90.00
_cell_angle_gamma 120.04
loop_
_symmetry_equiv_pos_as_xyz
'x,y,z'
loop_
_atom_site_label
_atom_site_type_symbol
_atom_site_fract_x
_atom_site_fract_y
_atom_site_fract_z
F1 F 0.000 0.000 0.232
Cs1 Cs 0.500 0.000 0.752
Cs2 Cs 0.500 0.500 0.248
Cs3 Cs 0.000 0.500 0.248
F2 F 0.000 0.000 0.768
Cs4 Cs 0.500 0.500 0.752
Cu1 Cu 0.000 0.000 0.000
F3 F 0.667 0.333 0.500
Cs5 Cs 0.500 0.000 0.248
F4 F 0.333 0.667 0.000
F5 F 0.333 0.667 0.500
F6 F 0.667 0.333 0.000
Cs6 Cs 0.000 0.500 0.752
```

---

(10)
The following is a DFT calculation (GGA-PBE) of crystalline CsCuF3 at its relaxed geometry.

The electronic total energy is -4.05 eV per atom. The calculation puts the formation energy without anion corrections at -1941 meV/atom. The magnetic moment comes out at 0.19 μB/atom.

The structure in CIF format:
```
data_CsCuF3
_symmetry_space_group_name_H-M 'P 1'
_symmetry_Int_Tables_number 1
_cell_length_a 4.004
_cell_length_b 6.056
_cell_length_c 6.715
_cell_angle_alpha 90.00
_cell_angle_beta 90.00
_cell_angle_gamma 90.01
loop_
_symmetry_equiv_pos_as_xyz
'x,y,z'
loop_
_atom_site_label
_atom_site_type_symbol
_atom_site_fract_x
_atom_site_fract_y
_atom_site_fract_z
F1 F 0.000 0.000 0.250
F2 F 0.500 0.782 0.000
F3 F 0.500 0.218 0.500
Cu1 Cu 0.500 0.000 0.750
Cu2 Cu 0.500 0.000 0.250
F4 F 0.500 0.782 0.500
Cs1 Cs 0.000 0.501 0.250
Cs2 Cs 0.000 0.499 0.750
F5 F 0.500 0.218 0.000
F6 F 0.000 0.000 0.750
```

---

(11)
The following is a DFT calculation (GGA-PBE) of crystalline Cs4CuF5 at its relaxed geometry.

The electronic total energy is -3.90 eV per atom. The calculation puts the formation energy without anion corrections at -2217 meV/atom. The magnetic moment comes out at 0.01 μB/atom.

The structure in CIF format:
```
data_Cs4CuF5
_symmetry_space_group_name_H-M 'P 1'
_symmetry_Int_Tables_number 1
_cell_length_a 6.059
_cell_length_b 7.062
_cell_length_c 7.062
_cell_angle_alpha 79.40
_cell_angle_beta 64.60
_cell_angle_gamma 64.60
loop_
_symmetry_equiv_pos_as_xyz
'x,y,z'
loop_
_atom_site_label
_atom_site_type_symbol
_atom_site_fract_x
_atom_site_fract_y
_atom_site_fract_z
Cs1 Cs 0.805 0.808 0.605
F1 F 0.251 0.832 0.671
F2 F 0.404 0.000 0.000
Cs2 Cs 0.411 0.395 0.808
F3 F 0.083 0.671 0.168
Cu1 Cu 0.051 0.000 0.000
Cs3 Cs 0.613 0.605 0.192
F4 F 0.921 0.329 0.832
Cs4 Cs 0.218 0.192 0.395
F5 F 0.754 0.168 0.329
```

---

(12)
The following is a DFT calculation (GGA-PBE) of crystalline Cs3CuF5 at its relaxed geometry.

The electronic total energy is -4.07 eV per atom. The calculation puts the formation energy without anion corrections at -2295 meV/atom. The magnetic moment comes out at 0.11 μB/atom.

The structure in CIF format:
```
data_Cs3CuF5
_symmetry_space_group_name_H-M 'P 1'
_symmetry_Int_Tables_number 1
_cell_length_a 8.044
_cell_length_b 8.044
_cell_length_c 8.683
_cell_angle_alpha 117.60
_cell_angle_beta 117.60
_cell_angle_gamma 90.00
loop_
_symmetry_equiv_pos_as_xyz
'x,y,z'
loop_
_atom_site_label
_atom_site_type_symbol
_atom_site_fract_x
_atom_site_fract_y
_atom_site_fract_z
Cs1 Cs 0.678 0.178 0.000
Cu1 Cu 0.750 0.250 0.500
F1 F 0.282 0.782 0.308
F2 F 0.026 0.526 0.308
F3 F 0.782 0.026 0.308
Cs2 Cs 0.178 0.322 0.000
F4 F 0.526 0.282 0.308
Cs3 Cs 0.250 0.250 0.500
Cs4 Cs 0.822 0.678 0.000
Cs5 Cs 0.750 0.750 0.500
F5 F 0.974 0.474 0.692
Cs6 Cs 0.322 0.822 0.000
F6 F 0.474 0.718 0.692
F7 F 0.718 0.218 0.692
Cu2 Cu 0.250 0.750 0.500
F8 F 0.000 0.000 0.000
F9 F 0.500 0.500 0.000
F10 F 0.218 0.974 0.692
```